[1]
VTeO4, optimized geometry, DFT PBE+U; DOS at the Fermi energy = 1.25 states/eV/f.u.; E above lowest polymorph = 0.64 eV per formula unit; total magnetization = 3.42 μB/cell; space-group type = I4_1md
1.0
-3.3779 3.3779 3.1892
3.3779 -3.3779 3.1892
3.3779 3.3779 -3.1892
V Te O
2 2 8
Direct
0.0000 0.0000 0.0000
0.7500 0.2500 0.5000
0.2375 0.7375 0.5000
0.4875 0.4875 0.0000
0.0468 0.2429 0.8039
0.4390 0.2429 0.1961
0.4964 0.1918 0.6954
0.4964 0.8011 0.3046
0.5511 0.7464 0.8046
0.9418 0.7464 0.1954
0.9929 0.2968 0.3039
0.9929 0.6890 0.6961



[2]
VTeO4, optimized geometry, DFT PBE+U; DOS at the Fermi energy = 0.00 states/eV/f.u.; E above lowest polymorph = 0.74 eV per formula unit; total magnetization = 2.00 μB/cell; space-group type = P1
1.0
5.5098 0.0000 0.0000
-2.0396 5.3287 0.0000
-0.0748 -1.9956 5.3864
V Te O
2 2 8
Direct
0.0000 0.0000 0.0000
0.4653 0.9891 0.3029
0.1618 0.4699 0.6606
0.6922 0.5482 0.2437
0.1178 0.7938 0.1499
0.4167 0.1910 0.0717
0.4587 0.6981 0.4342
0.4703 0.2370 0.5617
0.6411 0.7622 0.0421
0.9375 0.2158 0.3525
0.9583 0.2179 0.8511
0.9783 0.7096 0.6794



[3]
VTeO3, optimized geometry, DFT PBE+U; DOS at the Fermi energy = 6.90 states/eV/f.u.; total magnetization = 3.33 μB/cell; space-group type = Pm-3m; total DFT energy (no corrections) = -5.4661 eV/atom
1.0
4.1740 0.0000 0.0000
0.0000 4.1740 0.0000
0.0000 0.0000 4.1740
V Te O
1 1 3
Direct
0.0000 0.0000 0.0000
0.5000 0.5000 0.5000
0.0000 0.5000 0.5000
0.5000 0.0000 0.5000
0.5000 0.5000 0.0000



[4]
VTe2O6, optimized geometry, DFT PBE+U; E above lowest polymorph = 0.85 eV per formula unit; total magnetization = 0.99 μB/cell; space-group type = C2/m
1.0
4.3396 -1.8382 0.0000
4.3396 1.8382 0.0000
-0.8323 0.0000 8.1839
V Te O
1 2 6
Direct
0.0000 0.0000 0.0000
0.3292 0.3292 0.3013
0.6708 0.6708 0.6987
0.1098 0.1098 0.1995
0.2329 0.2329 0.6343
0.3830 0.3830 0.0735
0.6170 0.6170 0.9265
0.7671 0.7671 0.3657
0.8902 0.8902 0.8005



[5]
VTe2O6, optimized geometry, DFT PBE+U; E above lowest polymorph = 0.00 eV per formula unit; total magnetization = 2.00 μB/cell; space-group type = C2/c
1.0
5.5991 -4.6824 0.0000
5.5991 4.6824 0.0000
-0.4043 0.0000 5.4669
V Te O
2 4 12
Direct
0.0688 0.9312 0.7500
0.9312 0.0688 0.2500
0.1709 0.3877 0.7011
0.3877 0.1709 0.2011
0.6123 0.8291 0.7989
0.8291 0.6123 0.2989
0.0518 0.1442 0.9526
0.1147 0.6449 0.6479
0.1442 0.0518 0.4526
0.3310 0.3965 0.0025
0.3551 0.8853 0.8521
0.3965 0.3310 0.5025
0.6035 0.6690 0.4975
0.6449 0.1147 0.1479
0.6690 0.6035 0.9975
0.8558 0.9482 0.5474
0.8853 0.3551 0.3521
0.9482 0.8558 0.0474



[6]
V3TeO, optimized geometry, DFT PBE+U; DOS at the Fermi energy = 2.79 states/eV/f.u.; E above lowest polymorph = 6.03 eV per formula unit; total magnetization = 10.89 μB/cell; space-group type = Pm-3m
1.0
5.2616 0.0000 0.0000
0.0000 5.2616 0.0000
0.0000 0.0000 5.2616
V Te O
3 1 1
Direct
0.0000 0.0000 0.5000
0.0000 0.5000 0.0000
0.5000 0.0000 0.0000
0.0000 0.0000 0.0000
0.5000 0.5000 0.5000



[7]
V2TeO8, optimized geometry, DFT PBE+U; DOS at the Fermi energy = 0.00 states/eV/f.u.; total magnetization = 0.00 μB/cell; space-group type = C2/m; total DFT energy (no corrections) = -6.5055 eV/atom
1.0
4.3667 -4.9985 0.0000
4.3667 4.9985 0.0000
-0.7461 0.0000 5.0592
V Te O
2 1 8
Direct
0.2195 0.2195 0.1476
0.7805 0.7805 0.8524
0.0000 0.0000 0.5000
0.0092 0.7518 0.6802
0.1705 0.1705 0.7924
0.2482 0.9908 0.3198
0.4042 0.4042 0.2265
0.5958 0.5958 0.7735
0.7518 0.0092 0.6802
0.8295 0.8295 0.2076
0.9908 0.2482 0.3198



[8]
V3TeO, optimized geometry, DFT PBE+U; DOS at the Fermi energy = 1.25 states/eV/f.u.; E above lowest polymorph = 0.00 eV per formula unit; total magnetization = 0.85 μB/cell; space-group type = Pm-3m
1.0
4.1140 0.0000 0.0000
0.0000 4.1140 0.0000
0.0000 0.0000 4.1140
V Te O
3 1 1
Direct
0.0000 0.0000 0.5000
0.0000 0.5000 0.0000
0.5000 0.0000 0.0000
0.5000 0.5000 0.5000
0.0000 0.0000 0.0000



[9]
V2Te2O9, optimized geometry, DFT PBE+U; DOS at the Fermi energy = 0.00 states/eV/f.u.; E above lowest polymorph = 0.00 eV per formula unit; total magnetization = 0.00 μB/cell; space-group type = P2_1/c
1.0
7.3623 0.0000 0.0000
0.0000 9.7898 0.0000
-0.9493 0.0000 10.2107
V Te O
8 8 36
Direct
0.0074 0.2490 0.4584
0.0074 0.2510 0.9584
0.2925 0.0305 0.2706
0.2925 0.4695 0.7706
0.7075 0.5305 0.2294
0.7075 0.9695 0.7294
0.9926 0.7490 0.0416
0.9926 0.7510 0.5416
0.1366 0.5183 0.2910
0.1366 0.9817 0.7910
0.4456 0.7222 0.5627
0.4456 0.7778 0.0627
0.5544 0.2222 0.9373
0.5544 0.2778 0.4373
0.8634 0.0183 0.2090
0.8634 0.4817 0.7090
0.0667 0.1332 0.3098
0.0667 0.3668 0.8098
0.0850 0.1441 0.5751
0.0850 0.3559 0.0751
0.0941 0.5638 0.6758
0.0941 0.9362 0.1758
0.1631 0.6498 0.4316
0.1631 0.8502 0.9316
0.1968 0.1402 0.9448
0.1968 0.3598 0.4448
0.2356 0.6945 0.1251
0.2356 0.8055 0.6251
0.3502 0.5515 0.9055
0.3502 0.9485 0.4055
0.4150 0.1925 0.2849
0.4150 0.3075 0.7849
0.4441 0.5481 0.6507
0.4441 0.9519 0.1507
0.5559 0.0481 0.8493
0.5559 0.4519 0.3493
0.5850 0.6925 0.2151
0.5850 0.8075 0.7151
0.6498 0.0515 0.5945
0.6498 0.4485 0.0945
0.7644 0.1945 0.3749
0.7644 0.3055 0.8749
0.8032 0.6402 0.5552
0.8032 0.8598 0.0552
0.8369 0.1498 0.0684
0.8369 0.3502 0.5684
0.9059 0.0638 0.8242
0.9059 0.4362 0.3242
0.9150 0.6441 0.9249
0.9150 0.8559 0.4249
0.9333 0.6332 0.1902
0.9333 0.8668 0.6902



[10]
VTeO4, optimized geometry, DFT PBE+U; DOS at the Fermi energy = 0.00 states/eV/f.u.; E above lowest polymorph = 0.13 eV per formula unit; total magnetization = 4.00 μB/cell; space-group type = P2_1/c
1.0
4.6192 0.0000 0.0000
0.0000 13.6923 0.0000
-0.0384 0.0000 5.4832
V Te O
4 4 16
Direct
0.1831 0.1610 0.1689
0.1831 0.3390 0.6689
0.8169 0.6610 0.3311
0.8169 0.8390 0.8311
0.4593 0.6099 0.8571
0.4593 0.8901 0.3571
0.5407 0.1099 0.6429
0.5407 0.3901 0.1429
0.1749 0.6663 0.3113
0.1749 0.8337 0.8113
0.2562 0.0826 0.8761
0.2562 0.4174 0.3761
0.3194 0.2234 0.4843
0.3194 0.2766 0.9843
0.3346 0.0483 0.3682
0.3346 0.4517 0.8682
0.6654 0.5483 0.1318
0.6654 0.9517 0.6318
0.6806 0.7234 0.0157
0.6806 0.7766 0.5157
0.7438 0.5826 0.6239
0.7438 0.9174 0.1239
0.8251 0.1663 0.1887
0.8251 0.3337 0.6887



[11]
YVTe2O8, optimized geometry, DFT PBE+U; DOS at the Fermi energy = 0.00 states/eV/f.u.; total magnetization = 0.00 μB/cell; space-group type = Cmce; total DFT energy (no corrections) = -6.8166 eV/atom
1.0
3.6813 -4.1542 0.0000
3.6813 4.1542 0.0000
0.0000 0.0000 21.7328
Y V Te O
4 4 8 32
Direct
0.2486 0.2486 0.0000
0.2514 0.2514 0.5000
0.7486 0.7486 0.5000
0.7514 0.7514 0.0000
0.2324 0.2676 0.2500
0.2676 0.2324 0.7500
0.7324 0.7676 0.2500
0.7676 0.7324 0.7500
0.1906 0.8094 0.8691
0.1968 0.8032 0.6110
0.3032 0.6968 0.1110
0.3094 0.6906 0.3691
0.6906 0.3094 0.6309
0.6968 0.3032 0.8890
0.8032 0.1968 0.3890
0.8094 0.1906 0.1309
0.0049 0.9951 0.4330
0.0394 0.5645 0.0593
0.0555 0.9445 0.7341
0.0645 0.5394 0.5593
0.0670 0.9330 0.9419
0.0693 0.4307 0.7500
0.1369 0.2625 0.1639
0.2375 0.3631 0.3361
0.2625 0.1369 0.8361
0.3631 0.2375 0.6639
0.4307 0.0693 0.2500
0.4330 0.5670 0.4419
0.4355 0.9606 0.0593
0.4445 0.5555 0.2341
0.4606 0.9355 0.5593
0.4951 0.5049 0.9330
0.5049 0.4951 0.0670
0.5394 0.0645 0.4407
0.5555 0.4445 0.7659
0.5645 0.0394 0.9407
0.5670 0.4330 0.5581
0.5693 0.9307 0.7500
0.6369 0.7625 0.3361
0.7375 0.8631 0.1639
0.7625 0.6369 0.6639
0.8631 0.7375 0.8361
0.9307 0.5693 0.2500
0.9330 0.0670 0.0581
0.9355 0.4606 0.4407
0.9445 0.0555 0.2659
0.9606 0.4355 0.9407
0.9951 0.0049 0.5670



[12]
V2Zn3TeO10, optimized geometry, DFT PBE+U; DOS at the Fermi energy = 0.00 states/eV/f.u.; total magnetization = 0.00 μB/cell; space-group type = P2_1/c; total DFT energy (no corrections) = -6.0347 eV/atom
1.0
5.3360 0.0000 0.0000
0.0000 30.8685 0.0000
-0.8211 0.0000 5.5764
V Zn Te O
8 12 4 40
Direct
0.0673 0.2055 0.2186
0.0673 0.2945 0.7186
0.2479 0.0553 0.2209
0.2479 0.4447 0.7209
0.7521 0.5553 0.2791
0.7521 0.9447 0.7791
0.9327 0.7055 0.2814
0.9327 0.7945 0.7814
0.2254 0.1288 0.7679
0.2254 0.3712 0.2679
0.3011 0.5583 0.6397
0.3011 0.9417 0.1397
0.4252 0.7267 0.7877
0.4252 0.7733 0.2877
0.5748 0.2267 0.7123
0.5748 0.2733 0.2123
0.6989 0.0583 0.8603
0.6989 0.4417 0.3603
0.7746 0.6288 0.7321
0.7746 0.8712 0.2321
0.3262 0.6304 0.0710
0.3262 0.8696 0.5710
0.6738 0.1304 0.4290
0.6738 0.3696 0.9290
0.0362 0.6754 0.0376
0.0362 0.8246 0.5376
0.0701 0.5662 0.3277
0.0701 0.9338 0.8277
0.1135 0.5998 0.8257
0.1135 0.9002 0.3257
0.1820 0.1686 0.0410
0.1820 0.3314 0.5410
0.2042 0.7312 0.4416
0.2042 0.7688 0.9416
0.3083 0.0014 0.2361
0.3083 0.4986 0.7361
0.3088 0.2397 0.3491
0.3088 0.2603 0.8491
0.3888 0.0792 0.9867
0.3888 0.4208 0.4867
0.3964 0.0840 0.4876
0.3964 0.4160 0.9876
0.4879 0.6640 0.8466
0.4879 0.8360 0.3466
0.5121 0.1640 0.6534
0.5121 0.3360 0.1534
0.6036 0.5840 0.0124
0.6036 0.9160 0.5124
0.6112 0.5792 0.5133
0.6112 0.9208 0.0133
0.6912 0.7397 0.1509
0.6912 0.7603 0.6509
0.6917 0.5014 0.2639
0.6917 0.9986 0.7639
0.7958 0.2312 0.0584
0.7958 0.2688 0.5584
0.8180 0.6686 0.4590
0.8180 0.8314 0.9590
0.8865 0.0998 0.6743
0.8865 0.4002 0.1743
0.9299 0.0662 0.1723
0.9299 0.4338 0.6723
0.9638 0.1754 0.4624
0.9638 0.3246 0.9624



[13]
VZnTeO6, optimized geometry, DFT PBE+U; DOS at the Fermi energy = 2.76 states/eV/f.u.; total magnetization = 2.00 μB/cell; space-group type = P-31c; total DFT energy (no corrections) = -5.9528 eV/atom
1.0
5.1201 0.0000 0.0000
-2.5601 4.4342 0.0000
0.0000 0.0000 9.0961
V Zn Te O
2 2 2 12
Direct
0.3333 0.6667 0.2500
0.6667 0.3333 0.7500
0.0000 0.0000 0.0000
0.0000 0.0000 0.5000
0.3333 0.6667 0.7500
0.6667 0.3333 0.2500
0.9998 0.3544 0.1342
0.0002 0.3546 0.6342
0.9998 0.6454 0.3658
0.0002 0.6456 0.8658
0.3544 0.9998 0.6342
0.3544 0.3546 0.8658
0.3546 0.0002 0.1342
0.3546 0.3544 0.3658
0.6454 0.9998 0.8658
0.6454 0.6456 0.6342
0.6456 0.0002 0.3658
0.6456 0.6454 0.1342